Record 1
Material: KSr2Hg2
Method: DFT, meta-GGA SCAN
State: single point on PBEsol structure

abc: 9.1048 9.1048 4.2321
angles: 90.00 90.00 90.00
Space group P4/mbm (No. 127)
Symmetry-distinct sites (fractional):
K1 0.0000 0.0000 0.0000 (multiplicity 2)
Sr1 0.1531 0.3469 0.5000 (multiplicity 4)
Hg1 0.1367 0.6367 0.0000 (multiplicity 4)

Computed properties:
- raw total energy (eV for the cell shown) = -383.2
- spin magnetization (μB per atom) = 0.000
- formation energy from the elements (eV/atom) = -0.475
- relative energy among the computed polymorphs (eV/atom) = 0.000

Record 2
Material: La4SiIr
Method: DFT, meta-GGA SCAN
State: single point on PBEsol structure

abc: 8.5337 8.5337 8.5337
angles: 90.00 90.00 90.00
Space group F-43m (No. 216)
Symmetry-distinct sites (fractional):
La1 0.1250 0.1250 0.1250 (multiplicity 16)
Si1 0.0000 0.0000 0.5000 (multiplicity 4)
Ir1 0.2500 0.2500 0.7500 (multiplicity 4)

Computed properties:
- raw total energy (eV for the cell shown) = -1000.0
- spin magnetization (μB per atom) = 0.000
- ΔE_f (raw) (eV per atom) = 0.591

Record 3
Material: BaSbH
Method: DFT, meta-GGA SCAN
State: single point on PBEsol structure

abc: 5.3800 5.4710 6.4474
angles: 90.07 90.05 119.38
Space group P1 (No. 1)
Symmetry-distinct sites (fractional):
Ba1 0.0000 0.0000 0.0000 (multiplicity 1)
Ba2 0.3384 0.6780 0.4966 (multiplicity 1)
Sb1 0.6707 0.3417 0.7383 (multiplicity 1)
Sb2 0.6713 0.3438 0.2721 (multiplicity 1)
H1 0.3270 0.6713 0.0566 (multiplicity 1)
H2 0.4139 0.8339 0.0922 (multiplicity 1)

Computed properties:
- raw total energy (eV for the cell shown) = -164.9
- spin magnetization (μB per atom) = 0.000

Record 4
Material: LaMn2Tc
Method: DFT, meta-GGA SCAN
State: single point on PBEsol structure

abc: 2.8993 2.8993 27.1849
angles: 90.00 90.00 120.00
Space group R3m (No. 160, hexagonal axes)
Symmetry-distinct sites (fractional):
La1 0.0000 0.0000 0.0000 (multiplicity 3)
Mn1 0.0000 0.0000 0.4996 (multiplicity 3)
Mn2 0.0000 0.0000 0.7686 (multiplicity 3)
Tc1 0.0000 0.0000 0.2335 (multiplicity 3)

Computed properties:
- raw total energy (eV for the cell shown) = -338.4
- spin magnetization (μB per atom) = 0.364
- formation energy from the elements (eV/atom) = 0.470
- relative energy among the computed polymorphs (eV/atom) = 0.057

Record 5
Material: Li3ScIn
Method: DFT, meta-GGA SCAN
State: single point on PBEsol structure

abc: 5.0765 5.0765 5.0765
angles: 90.00 90.00 90.00
Space group Pm-3m (No. 221)
Symmetry-distinct sites (fractional):
Li1 0.0000 0.0000 0.5000 (multiplicity 3)
Sc1 0.0000 0.0000 0.0000 (multiplicity 1)
In1 0.5000 0.5000 0.5000 (multiplicity 1)

Computed properties:
- raw total energy (eV for the cell shown) = -50.4
- spin magnetization (μB per atom) = 0.370
- formation energy from the elements (eV/atom) = 0.887

Record 6
Material: Sc2PRu
Method: DFT, meta-GGA SCAN
State: single point on PBEsol structure

abc: 3.7783 3.6613 9.8213
angles: 90.00 90.00 90.00
Space group Amm2 (No. 38)
Symmetry-distinct sites (fractional):
Sc1 0.0000 0.0000 0.0000 (multiplicity 2)
Sc2 0.5000 0.0000 0.2821 (multiplicity 2)
P1 0.0000 0.0000 0.7184 (multiplicity 2)
Ru1 0.5000 0.0000 0.5657 (multiplicity 2)

Computed properties:
- raw total energy (eV for the cell shown) = -155.7
- spin magnetization (μB per atom) = 0.000
- formation energy from the elements (eV/atom) = -1.033

Record 7
Material: BaBe3Nb
Method: DFT, meta-GGA SCAN
State: single point on PBEsol structure

abc: 4.6066 4.6066 4.6066
angles: 90.00 90.00 90.00
Space group Pm-3m (No. 221)
Symmetry-distinct sites (fractional):
Ba1 0.0000 0.0000 0.0000 (multiplicity 1)
Be1 0.0000 0.0000 0.5000 (multiplicity 3)
Nb1 0.5000 0.5000 0.5000 (multiplicity 1)

Computed properties:
- raw total energy (eV for the cell shown) = -73.4
- spin magnetization (μB per atom) = 0.000
- formation energy from the elements (eV/atom) = 2.477

Record 8
Material: HfRePt2
Method: DFT, meta-GGA SCAN
State: single point on PBEsol structure

abc: 6.3863 6.3863 6.3863
angles: 90.00 90.00 90.00
Space group Fm-3m (No. 225)
Symmetry-distinct sites (fractional):
Hf1 0.0000 0.0000 0.0000 (multiplicity 4)
Re1 0.0000 0.0000 0.5000 (multiplicity 4)
Pt1 0.2500 0.2500 0.2500 (multiplicity 8)

Computed properties:
- raw total energy (eV for the cell shown) = -1100.9
- spin magnetization (μB per atom) = 0.389
- formation energy from the elements (eV/atom) = -0.268

Record 9
Material: AgGeB2Pd
Method: DFT, meta-GGA SCAN
State: single point on PBEsol structure

abc: 3.9757 3.9757 5.1573
angles: 90.00 90.00 90.00
Space group P4/mmm (No. 123)
Symmetry-distinct sites (fractional):
Ag1 0.0000 0.0000 0.0000 (multiplicity 1)
Ge1 0.5000 0.5000 0.0000 (multiplicity 1)
B1 0.0000 0.5000 0.5000 (multiplicity 2)
Pd1 0.0000 0.0000 0.5000 (multiplicity 1)

Computed properties:
- raw total energy (eV for the cell shown) = -93.1
- spin magnetization (μB per atom) = 0.000
- formation energy from the elements (eV/atom) = 0.991

Record 10
Material: Y2ScAg
Method: DFT, meta-GGA SCAN
State: single point on PBEsol structure

abc: 3.5684 5.1495 10.8874
angles: 90.00 90.00 90.00
Space group Imm2 (No. 44)
Symmetry-distinct sites (fractional):
Y1 0.0000 0.0000 0.0000 (multiplicity 2)
Y2 0.0000 0.5000 0.2176 (multiplicity 2)
Sc1 0.0000 0.5000 0.7840 (multiplicity 2)
Ag1 0.0000 0.0000 0.4867 (multiplicity 2)

Computed properties:
- raw total energy (eV for the cell shown) = -203.9
- spin magnetization (μB per atom) = 0.000
- formation energy from the elements (eV/atom) = -0.165
- relative energy among the computed polymorphs (eV/atom) = 0.000

Record 11
Material: Ti2PF
Method: DFT, meta-GGA SCAN
State: single point on PBEsol structure

abc: 4.6069 4.6069 12.0421
angles: 90.00 90.00 90.00
Space group I-42d (No. 122)
Symmetry-distinct sites (fractional):
Ti1 0.1886 0.2500 0.1250 (multiplicity 8)
P1 0.0000 0.0000 0.5000 (multiplicity 4)
F1 0.0000 0.0000 0.0000 (multiplicity 4)

Computed properties:
- raw total energy (eV for the cell shown) = -201.8
- spin magnetization (μB per atom) = 0.679
- ΔE_f (raw) (eV per atom) = -1.115

Record 12
Material: ZrZn5
Method: DFT, meta-GGA SCAN
State: single point on PBEsol structure

abc: 3.0471 3.0471 9.7932
angles: 90.00 90.00 90.00
Space group P4/mmm (No. 123)
Symmetry-distinct sites (fractional):
Zr1 0.0000 0.0000 0.0000 (multiplicity 1)
Zn1 0.0000 0.0000 0.3446 (multiplicity 2)
Zn2 0.5000 0.5000 0.1953 (multiplicity 2)
Zn3 0.5000 0.5000 0.5000 (multiplicity 1)

Computed properties:
- raw total energy (eV for the cell shown) = -99.1
- spin magnetization (μB per atom) = 0.000
- formation energy from the elements (eV/atom) = -0.138